--- one ---
Compound: TlCuRu
Source: the Alexandria database
Functional: meta-GGA SCAN
Structure: PBEsol geometry

Results
The calculation puts the volume at 18.5 Å³/atom.

a b c (Å): 6.0595 6.0595 6.0595
angles (deg): 90.00 90.00 90.00
Last column: nearest neighbours and their distance in Å.
Space group F-43m (No. 216)
Symmetry-distinct sites (fractional):
1 Tl 0.0000 0.0000 0.0000 x4  4 Ru 2.62, 4 Cu 2.62
2 Cu 0.2500 0.2500 0.2500 x4  4 Tl 2.62
3 Ru 0.2500 0.2500 0.7500 x4  4 Tl 2.62

--- two ---
Compound: TlCuRu
Source: the Alexandria database
Functional: meta-GGA SCAN
Structure: PBEsol geometry

Results
The calculation puts the volume at 16.1 Å³/atom.

a b c (Å): 2.9371 2.9371 6.4522
angles (deg): 90.00 90.00 120.00
Last column: nearest neighbours and their distance in Å.
Space group P3m1 (No. 156)
Symmetry-distinct sites (fractional):
1 Tl 0.0000 0.0000 0.0000 x1  3 Cu 2.81, 3 Ru 2.84, 6 Tl 2.94
2 Cu 0.3333 0.6667 0.6524 x1  3 Ru 2.57, 3 Tl 2.81
3 Ru 0.6667 0.3333 0.3529 x1  3 Cu 2.57, 3 Tl 2.84

Which of them is most stable? Easy: two.

--- one ---
Compound: Li2CuPt
Source: the Alexandria database
Functional: meta-GGA SCAN
Structure: PBEsol geometry

Results
The calculation puts the volume at 12.6 Å³/atom.

a b c (Å): 3.6463 3.6463 3.7774
angles (deg): 90.00 90.00 90.00
Last column: nearest neighbours and their distance in Å.
Space group P4/mmm (No. 123)
Symmetry-distinct sites (fractional):
1 Li 0.0000 0.5000 0.0000 x2  4 Li 2.58, 4 Pt 2.63, 4 Cu 2.63
2 Cu 0.0000 0.0000 0.5000 x1  4 Pt 2.58, 8 Li 2.63
3 Pt 0.5000 0.5000 0.5000 x1  4 Cu 2.58, 8 Li 2.63

--- two ---
Compound: Li2CuPt
Source: the Alexandria database
Functional: meta-GGA SCAN
Structure: PBEsol geometry

Results
The calculation puts the volume at 12.7 Å³/atom.

a b c (Å): 2.8805 4.2374 8.2964
angles (deg): 90.00 90.00 90.00
Last column: nearest neighbours and their distance in Å.
Space group Immm (No. 71)
Symmetry-distinct sites (fractional):
1 Li 0.0000 0.0000 0.2441 x4  2 Cu 2.49, 4 Li 2.56, 2 Pt 2.57
2 Cu 0.0000 0.5000 0.5000 x2  4 Li 2.49, 4 Pt 2.56
3 Pt 0.0000 0.5000 0.0000 x2  4 Cu 2.56, 4 Li 2.57

Which of them is most stable? Easy: two.

--- one ---
Compound: ScMoAu
Source: the Alexandria database
Functional: meta-GGA SCAN
Structure: PBEsol geometry

Results
The calculation puts the volume at 20.5 Å³/atom.

a b c (Å): 6.2609 6.2609 6.2609
angles (deg): 90.00 90.00 90.00
Last column: nearest neighbours and their distance in Å.
Space group F-43m (No. 216)
Symmetry-distinct sites (fractional):
1 Sc 0.0000 0.0000 0.0000 x4  4 Au 2.71
2 Mo 0.0000 0.0000 0.5000 x4  4 Au 2.71
3 Au 0.2500 0.2500 0.7500 x4  4 Mo 2.71, 4 Sc 2.71

--- two ---
Compound: ScMoAu
Source: the Alexandria database
Functional: meta-GGA SCAN
Structure: PBEsol geometry

Results
The calculation puts the volume at 17.5 Å³/atom.

a b c (Å): 2.9378 2.9378 7.0072
angles (deg): 90.00 90.00 120.00
Last column: nearest neighbours and their distance in Å.
Space group P3m1 (No. 156)
Symmetry-distinct sites (fractional):
1 Sc 0.0000 0.0000 0.0000 x1  3 Mo 2.87, 3 Au 2.92, 6 Sc 2.94
2 Mo 0.6667 0.3333 0.3312 x1  3 Au 2.87, 3 Sc 2.87, 6 Mo 2.94
3 Au 0.3333 0.6667 0.6614 x1  3 Mo 2.87, 3 Sc 2.92, 6 Au 2.94

Which of them is most stable? Easy: two.